Entry 1:
Computed, not measured: a relaxed Ba2BeB crystal at the PBE level of DFT.

Results
- volume (A^3/atom) = 28.0
- energy relative to the elements (eV/atom) = 0.86
- SG = Fm-3m, No. 225
- uncorrected energy (Ry/atom) = -0.199
- density (g cm⁻³) = 4.37

Lattice parameters (Å, degrees): 5.4076 5.4076 5.4076 60.00 60.00 60.00
Last column: nearest neighbours and their distance in Å.
Fractional coordinates of all 4 atoms:
Ba 0.2500 0.2500 0.2500  4 Be 3.31, 4 B 3.31
Ba 0.7500 0.7500 0.7500  4 Be 3.31, 4 B 3.31
Be 0.0000 0.0000 0.0000  8 Ba 3.31
B 0.5000 0.5000 0.5000  8 Ba 3.31

***

Entry 2:
Computed, not measured: a relaxed BaBeB3 crystal at the PBE level of DFT.

Results
- E above lowest polymorph (meV/atom) = 0
- volume (A^3/atom) = 14.7
- energy relative to the elements (eV/atom) = 1.37
- SG = Pm-3m, No. 221
- uncorrected energy (Ry/atom) = -0.277
- density (g cm⁻³) = 4.04

Lattice parameters (Å, degrees): 4.1872 4.1872 4.1872 90.00 90.00 90.00
Last column: nearest neighbours and their distance in Å.
Fractional coordinates of all 5 atoms:
Ba 0.0000 0.0000 0.0000  12 B 2.96
Be 0.5000 0.5000 0.5000  6 B 2.09
B 0.0000 0.5000 0.5000  2 Be 2.09
B 0.5000 0.0000 0.5000  2 Be 2.09
B 0.5000 0.5000 0.0000  2 Be 2.09

***

Entry 3:
Computed, not measured: a relaxed BaBeB2Cl crystal at the PBE level of DFT.

Results
- raw formation energy (meV/atom) = 2378
- volume (A^3/atom) = 41.0
- SG = P4/mmm, No. 123
- uncorrected energy (Ry/atom) = -0.132
- density (g cm⁻³) = 1.65

Lattice parameters (Å, degrees): 5.6344 5.6344 6.4634 90.00 90.00 90.00
Last column: nearest neighbours and their distance in Å.
Fractional coordinates of all 5 atoms:
Ba 0.0000 0.0000 0.0000  4 B 2.82
Be 0.0000 0.0000 0.5000  2 Ba 3.23
B 0.0000 0.5000 0.0000  2 Ba 2.82
B 0.5000 0.0000 0.0000  2 Ba 2.82
Cl 0.5000 0.5000 0.5000  4 Be 3.98, 8 B 4.29

***

Entry 4:
Computed, not measured: a relaxed BaBeIn2B crystal at the PBE level of DFT.

Results
- volume (A^3/atom) = 24.2
- energy relative to the elements (eV/atom) = 0.50
- SG = P4/mmm, No. 123
- uncorrected energy (Ry/atom) = -0.225
- density (g cm⁻³) = 5.31

Lattice parameters (Å, degrees): 5.5674 5.5674 3.9023 90.00 90.00 90.00
Last column: nearest neighbours and their distance in Å.
Fractional coordinates of all 5 atoms:
Ba 0.0000 0.0000 0.0000  8 In 3.40
Be 0.5000 0.5000 0.5000  2 B 1.95
In 0.0000 0.5000 0.5000  2 Be 2.78
In 0.5000 0.0000 0.5000  2 Be 2.78
B 0.5000 0.5000 0.0000  2 Be 1.95

***

What did the third record say?
Computed, not measured: a relaxed BaBeB2Cl crystal at the PBE level of DFT.

Results
- raw formation energy (meV/atom) = 2378
- volume (A^3/atom) = 41.0
- SG = P4/mmm, No. 123
- uncorrected energy (Ry/atom) = -0.132
- density (g cm⁻³) = 1.65

Lattice parameters (Å, degrees): 5.6344 5.6344 6.4634 90.00 90.00 90.00
Last column: nearest neighbours and their distance in Å.
Fractional coordinates of all 5 atoms:
Ba 0.0000 0.0000 0.0000  4 B 2.82
Be 0.0000 0.0000 0.5000  2 Ba 3.23
B 0.0000 0.5000 0.0000  2 Ba 2.82
B 0.5000 0.0000 0.0000  2 Ba 2.82
Cl 0.5000 0.5000 0.5000  4 Be 3.98, 8 B 4.29

***

Question: The highest uncorrected energy belongs to which entry?
Answer: BaBeB2Cl

***

Question: Which formula does entry 4 have?
Answer: BaBeIn2B

***

What did the second record say?
Computed, not measured: a relaxed BaBeB3 crystal at the PBE level of DFT.

Results
- E above lowest polymorph (meV/atom) = 0
- volume (A^3/atom) = 14.7
- energy relative to the elements (eV/atom) = 1.37
- SG = Pm-3m, No. 221
- uncorrected energy (Ry/atom) = -0.277
- density (g cm⁻³) = 4.04

Lattice parameters (Å, degrees): 4.1872 4.1872 4.1872 90.00 90.00 90.00
Last column: nearest neighbours and their distance in Å.
Fractional coordinates of all 5 atoms:
Ba 0.0000 0.0000 0.0000  12 B 2.96
Be 0.5000 0.5000 0.5000  6 B 2.09
B 0.0000 0.5000 0.5000  2 Be 2.09
B 0.5000 0.0000 0.5000  2 Be 2.09
B 0.5000 0.5000 0.0000  2 Be 2.09